PuTl2CuO8 | GGA-PBE | optimized geometry

Cell and atoms, written as POSCAR:
```
PuTl2CuO8
1.0
-4.6026 1.0635 1.9452
-1.0825 -4.5923 -1.5055
2.3256 -3.1909 5.5537
O Tl Pu Cu
8 2 1 1
Cartesian
0.2962 -6.0166 3.0989
-1.1856 -3.9158 0.1987
0.4999 -4.0663 5.7893
-3.6557 -0.7031 2.8946
-0.5176 -2.4368 3.1047
-2.1740 -2.8039 5.7948
-3.8594 -2.6534 0.2042
-2.8420 -4.2830 2.8887
-0.9862 -4.4108 4.0884
-2.3733 -2.3090 1.9051
0.0000 0.0000 0.0000
1.1628 -1.5955 2.7769
```

## Properties
formation energy from raw total energies = -1136 meV per atom